A plane-wave DFT calculation with PBE was carried out for an optimized crystal structure of Ca2LaCo.

CIF file:
```
data_Ca2LaCo
_chemical_formula_sum 'Ca2 La1 Co1'
_cell_length_a 3.549
_cell_length_b 3.549
_cell_length_c 9.618
_cell_angle_alpha 90.00
_cell_angle_beta 90.00
_cell_angle_gamma 90.00
_space_group_name_H-M_alt 'P 4 m m'
_space_group_IT_number 99
_space_group_name_Hall 'P 4 -2'
loop_
_atom_site_label
_atom_site_type_symbol
_atom_site_fract_x
_atom_site_fract_y
_atom_site_fract_z
Ca1 Ca 0.000 0.000 0.000
Ca2 Ca 0.500 0.500 0.325
La1 La 0.500 0.500 0.669
Co1 Co 0.000 0.000 0.516
```

Values from the calculation:
density: 3.8 g/cm3
distance to the lowest polymorph of the same formula: 0.032 eV/atom
energy: -3.941 eV/atom
DOS(E_F): 3.587 states/eV per cell
ΔE_f: 1.57 kcal/mol of atoms